4
Lattice="3.1649 0.0000 0.0000 1.5825 2.7409 0.0000 1.5825 0.9136 9.3363" Properties=species:S:1:pos:R:3 comment="Hf2NbGa (PBE-GGA, optimized geometry)" delta_e_f_ev_per_atom=-0.05 mass_density_g_cm3=10.7 crystal_system=trigonal dos_at_fermi_per_ev_cell=4.36 total_magnetization_mub_per_fu=0.00 pbc="T T T"
Nb 3.1649 1.8273 4.6682
Hf 1.5825 0.9136 2.3020
Hf 4.7474 2.7409 7.0343
Ga 0.0000 0.0000 0.0000